The following is a DFT calculation (PBE) of MgCuSi2 after structural relaxation.

Calculated values
- Space group: C2/m
- ΔE_f (raw): 9.7 kJ/mol of atoms
- Crystal system: monoclinic
- V: 63.96 Å³/cell

abc: 4.307 4.307 5.487
angles: 77.51 77.51 40.21
Atoms (fractional coordinates):
Cu 0.750 0.750 0.750
Mg 0.250 0.250 0.250
Si 0.009 0.009 0.942
Si 0.491 0.491 0.558

The following is a DFT calculation (PBE) of MgCuSi2 after structural relaxation.

Calculated values
- Space group: P4mm
- ΔE_f (raw): 17.8 kJ/mol of atoms
- Crystal system: tetragonal
- V: 60.09 Å³/cell

abc: 2.832 2.832 7.493
angles: 90.00 90.00 89.98
Atoms (fractional coordinates):
Cu 0.000 0.000 0.479
Mg 0.500 0.500 0.735
Si 0.000 0.000 0.012
Si 0.500 0.500 0.274